# 1
TbZr5N6: relaxed, PBE.

Cell: 5.719 5.705 5.707 Å, 60.02 80.43 70.58°
Fractional coordinates of all 12 atoms:
N 0.743 0.086 0.340
N 0.746 0.743 0.000
N 0.257 0.914 0.660
N 0.254 0.257 0.000
N 0.743 0.426 0.660
N 0.257 0.574 0.340
Zr 0.500 0.166 0.667
Zr 0.000 0.333 0.334
Zr 0.500 0.834 0.333
Zr 0.500 0.500 0.000
Zr 0.000 0.667 0.666
Tb 0.000 0.000 0.000

Results
- density of states at the Fermi level (states/eV/f.u.) = 3.79
- formation energy from raw total energies (kJ per mole of atoms) = -162
- space group = C2/m
- mass density (kg/m3) = 7632
- magnetic moment (μB/f.u.) = 0.000

=====

# 2
Tb2ZrN: relaxed, PBE.

Cell: 3.360 3.360 9.415 Å, 79.72 79.72 60.00°
Fractional coordinates of all 4 atoms:
Tb 0.883 0.883 0.351
Tb 0.117 0.117 0.649
Zr 0.000 0.000 0.000
N 0.500 0.500 0.500

Results
- density of states at the Fermi level (states/eV/f.u.) = 4.29
- formation energy from raw total energies (kJ per mole of atoms) = -51
- space group = R-3m
- mass density (kg/m3) = 7799
- magnetic moment (μB/f.u.) = 0.001

=====

# 3
TbZr2N3: relaxed, PBE.

Cell: 3.337 3.337 7.447 Å, 102.96 102.96 89.97°
Fractional coordinates of all 6 atoms:
N 0.263 0.265 0.532
N 0.934 0.936 0.874
N 0.605 0.607 0.216
Zr 0.766 0.768 0.538
Zr 0.102 0.103 0.210
Tb 0.434 0.436 0.874

Results
- density of states at the Fermi level (states/eV/f.u.) = 1.25
- formation energy from raw total energies (kJ per mole of atoms) = -160
- space group = I4/mmm
- mass density (kg/m3) = 8093
- magnetic moment (μB/f.u.) = 0.000

=====

Please write out number 1 again, unchanged.
TbZr5N6: relaxed, PBE.

Cell: 5.719 5.705 5.707 Å, 60.02 80.43 70.58°
Fractional coordinates of all 12 atoms:
N 0.743 0.086 0.340
N 0.746 0.743 0.000
N 0.257 0.914 0.660
N 0.254 0.257 0.000
N 0.743 0.426 0.660
N 0.257 0.574 0.340
Zr 0.500 0.166 0.667
Zr 0.000 0.333 0.334
Zr 0.500 0.834 0.333
Zr 0.500 0.500 0.000
Zr 0.000 0.667 0.666
Tb 0.000 0.000 0.000

Results
- density of states at the Fermi level (states/eV/f.u.) = 3.79
- formation energy from raw total energies (kJ per mole of atoms) = -162
- space group = C2/m
- mass density (kg/m3) = 7632
- magnetic moment (μB/f.u.) = 0.000

=====

Question: The highest mass density belongs to which entry?
Answer: TbZr2N3